No. 1
## KSm2CuSe4 (PBE-GGA)

Data for a relaxed structure of KSm2CuSe4.

```
KSm2CuSe4
1.0
4.182 0.000 0.000
-2.091 7.164 0.000
0.000 0.000 14.552
Se Sm K Cu
8 4 2 2
Cartesian
0.000 6.239 10.914
2.091 3.365 12.886
0.000 0.000 7.276
0.000 3.799 5.610
2.091 0.925 3.638
2.091 3.365 8.942
0.000 0.000 0.000
0.000 3.799 1.666
0.000 5.235 8.212
2.091 1.929 6.340
2.091 1.929 0.936
0.000 5.235 13.616
2.091 5.575 3.638
0.000 1.589 10.914
0.000 2.284 3.638
2.091 4.880 10.914
```

formation energy without anion corrections	-1.52	eV/atom

No. 2
## Sc4TcAg (PBE-GGA)

Data for a relaxed structure of Sc4TcAg.

```
Sc4TcAg
1.0
-3.189 0.908 -0.110
-0.113 0.004 3.316
3.137 11.031 0.092
Sc Tc Ag
4 1 1
Cartesian
-1.163 2.174 1.618
-1.326 7.861 3.264
0.998 9.769 1.681
1.161 4.082 0.034
-0.083 5.971 1.649
0.000 0.000 0.000
```

Fermi-level density of states	5.5	states/eV/f.u.
excess energy over the best structure of this formula in the dataset	0.000	eV per atom
energy relative to the elements	-150	meV/atom

No. 3
## ZnCr2Cu (PBE-GGA)

Data for a relaxed structure of ZnCr2Cu.

```
ZnCr2Cu
1.0
-3.560 -3.122 -0.557
1.083 -4.578 -0.778
1.224 3.439 3.068
Cu Zn Cr
1 1 2
Cartesian
0.534 -2.495 0.811
-1.788 -1.767 0.922
0.000 0.000 0.000
-1.239 -3.850 -0.668
```

Fermi-level density of states	2.9	states/eV/f.u.
energy relative to the elements	224	meV/atom

No. 4
## HgMoW2 (PBE-GGA)

Data for a relaxed structure of HgMoW2.

```
HgMoW2
1.0
10.065 0.016 0.010
9.661 2.825 0.010
9.661 1.391 2.458
Mo W Hg
1 2 1
Cartesian
21.960 3.163 1.851
0.007 0.001 0.001
7.428 1.070 0.626
14.684 2.115 1.238
```

Fermi-level density of states	3.3	states/eV/f.u.
energy relative to the elements	597	meV/atom

No. 5
## TlFeRu2 (PBE-GGA)

Data for a relaxed structure of TlFeRu2.

```
TlFeRu2
1.0
-2.915 -2.421 -0.384
1.767 -1.948 -1.133
2.829 -4.065 4.156
Fe Ru Tl
1 2 1
Cartesian
2.030 -5.802 2.278
2.827 -4.062 4.148
-0.353 -2.626 0.346
2.303 -3.017 1.537
```

Fermi-level density of states	4.7	states/eV/f.u.
excess energy over the best structure of this formula in the dataset	0.061	eV per atom
energy relative to the elements	465	meV/atom

No. 6
## Er8Ga3Te3Se (PBE-GGA)

Data for a relaxed structure of Er8Ga3Te3Se.

```
Er8Ga3Te3Se
1.0
-4.663 -0.762 -6.754
8.215 -0.274 -0.612
-4.088 -6.579 3.565
Er Te Ga Se
8 3 3 1
Cartesian
-0.484 -2.485 -4.415
1.916 -2.110 -1.085
-2.453 -5.505 -2.715
-2.198 -1.985 -0.861
-0.052 -5.130 0.615
1.661 -5.629 -2.939
3.911 -5.262 0.320
-4.448 -2.353 -4.120
4.107 -0.137 -0.306
1.776 -0.518 -3.683
0.000 0.000 0.000
-4.376 -3.671 -1.594
2.063 -3.426 1.477
-0.268 -3.807 -1.900
-2.044 -3.290 1.783
```

formation energy without anion corrections	-0.91	eV/atom
Fermi-level density of states	6.5	states/eV/f.u.